[1]
! RbAg3S2 (PBE, optimized geometry); values from VASP
&SYSTEM
  ibrav = 0, nat = 12, ntyp = 3
/
ATOMIC_SPECIES
Rb 85.47 Rb.upf
Ag 107.87 Ag.upf
S 32.06 S.upf
CELL_PARAMETERS angstrom
9.014 -2.125 0.000
9.014 2.125 0.000
-3.613 0.000 8.099
ATOMIC_POSITIONS angstrom
Rb 3.175 0.000 1.738
Rb 11.239 0.000 6.361
Ag -2.991 0.000 6.830
Ag -0.136 0.000 4.023
Ag 6.921 0.000 2.535
Ag 7.493 0.000 5.565
Ag 14.550 0.000 4.076
Ag 17.405 0.000 1.269
S -0.357 0.000 6.503
S 4.815 0.000 5.645
S 9.600 0.000 2.454
S 14.772 0.000 1.597
! E_tot in eV/cell: -39.00
! Energy relative to the elements, uncorrected in eV per atom: -0.287


[2]
! Rb3AgS2 (PBE, optimized geometry); values from VASP
&SYSTEM
  ibrav = 0, nat = 24, ntyp = 3
/
ATOMIC_SPECIES
Rb 85.47 Rb.upf
Ag 107.87 Ag.upf
S 32.06 S.upf
CELL_PARAMETERS angstrom
-5.023 5.023 8.293
5.023 -5.023 8.293
5.023 5.023 -8.293
ATOMIC_POSITIONS angstrom
Rb 0.000 0.000 0.000
Rb 2.511 2.511 -4.147
Rb 2.511 -2.511 4.147
Rb 3.025 0.513 2.073
Rb 7.021 0.513 2.073
Rb 3.025 5.536 -2.073
Rb 1.998 0.513 6.220
Rb 0.000 5.023 0.000
Rb 3.025 4.509 2.073
Rb 1.998 -0.513 10.367
Rb -1.998 4.509 6.220
Rb 1.998 4.509 6.220
Ag 5.023 2.511 -0.595
Ag 0.000 2.511 3.552
Ag 5.023 2.511 4.741
Ag 0.000 2.511 8.888
S 2.656 2.511 -0.603
S 7.389 2.511 -0.603
S 0.000 0.145 3.544
S 5.023 0.145 4.750
S 0.000 4.878 3.544
S 5.023 4.878 4.750
S -2.367 2.511 8.896
S 2.367 2.511 8.896
! E_tot in eV/cell: -76.56
! Energy relative to the lowest polymorph listed for this composition in meV/atom: 0
! Energy relative to the elements, uncorrected in eV per atom: -0.855


[3]
! RbAg2S2 (PBE, optimized geometry); values from VASP
&SYSTEM
  ibrav = 0, nat = 5, ntyp = 3
/
ATOMIC_SPECIES
Rb 85.47 Rb.upf
Ag 107.87 Ag.upf
S 32.06 S.upf
CELL_PARAMETERS angstrom
-2.150 2.150 6.654
2.150 -2.150 6.654
2.150 2.150 -6.654
ATOMIC_POSITIONS angstrom
Rb 0.000 0.000 0.000
Ag 2.150 0.000 3.327
Ag 0.000 2.150 3.327
S 0.000 0.000 4.807
S 0.000 0.000 8.501
! E_tot in eV/cell: -16.75
! Energy relative to the lowest polymorph listed for this composition in meV/atom: 0
! Energy relative to the elements, uncorrected in eV per atom: -0.365


[4]
! Rb2AgSbS4 (PBE, optimized geometry); values from VASP
&SYSTEM
  ibrav = 0, nat = 32, ntyp = 4
/
ATOMIC_SPECIES
Rb 85.47 Rb.upf
Ag 107.87 Ag.upf
Sb 121.76 Sb.upf
S 32.06 S.upf
CELL_PARAMETERS angstrom
8.362 0.000 0.000
0.000 10.989 0.000
-8.079 0.000 10.623
ATOMIC_POSITIONS angstrom
Rb -0.969 0.100 2.506
Rb -5.008 5.394 7.818
Rb -1.031 8.020 5.419
Rb 3.008 8.464 0.108
Rb -2.725 2.525 10.515
Rb 1.314 2.969 5.204
Rb 5.291 5.595 2.805
Rb 1.252 10.889 8.117
Ag 1.126 5.857 2.355
Ag -2.913 10.626 7.666
Ag 3.196 0.363 2.957
Ag -0.843 5.132 8.268
Sb -2.822 2.446 5.744
Sb 1.218 3.049 0.432
Sb -0.935 7.940 10.191
Sb 3.105 8.543 4.879
S -0.086 7.977 1.655
S -4.125 8.507 6.967
S -4.314 2.003 7.530
S -0.274 3.492 2.218
S 2.191 0.873 0.657
S -1.848 4.621 5.969
S -1.195 0.733 5.840
S 2.844 4.762 0.528
S -2.561 6.227 10.095
S 1.478 10.256 4.783
S 2.131 6.368 4.654
S -1.908 10.116 9.966
S 0.557 7.498 8.405
S 4.597 8.986 3.093
S 4.408 2.482 3.656
S 0.369 3.012 8.968
! E_tot in eV/cell: -122.22
! Energy relative to the lowest polymorph listed for this composition in meV/atom: 0
! Energy relative to the elements, uncorrected in eV per atom: -0.642


[5]
! Rb2Ag2SbS4 (PBE, optimized geometry); values from VASP
&SYSTEM
  ibrav = 0, nat = 9, ntyp = 4
/
ATOMIC_SPECIES
Rb 85.47 Rb.upf
Ag 107.87 Ag.upf
Sb 121.76 Sb.upf
S 32.06 S.upf
CELL_PARAMETERS angstrom
7.781 -2.053 0.000
7.781 2.053 0.000
-2.821 0.000 7.373
ATOMIC_POSITIONS angstrom
Rb 1.924 0.000 0.437
Rb 10.817 0.000 6.936
Ag 3.442 0.000 3.807
Ag 9.299 0.000 3.565
Sb -1.410 0.000 3.686
S 1.010 0.000 5.026
S 5.520 0.000 5.348
S 7.221 0.000 2.025
S 11.731 0.000 2.347
! E_tot in eV/cell: -32.66
! Energy relative to the elements, uncorrected in eV per atom: -0.487


[6]
! Rb2AgSbS4 (PBE, optimized geometry); values from VASP
&SYSTEM
  ibrav = 0, nat = 16, ntyp = 4
/
ATOMIC_SPECIES
Rb 85.47 Rb.upf
Ag 107.87 Ag.upf
Sb 121.76 Sb.upf
S 32.06 S.upf
CELL_PARAMETERS angstrom
0.000 6.923 12.147
3.193 0.000 12.147
3.193 6.923 0.000
ATOMIC_POSITIONS angstrom
Rb 2.395 5.193 1.374
Rb 3.992 8.654 7.448
Rb 2.395 5.193 16.847
Rb 3.992 8.654 22.921
Ag 0.798 1.731 3.037
Ag 5.588 12.116 21.258
Sb 2.395 5.193 9.111
Sb 3.992 8.654 15.184
S 3.780 3.769 7.817
S 3.780 6.616 10.404
S 5.377 7.231 16.478
S 5.377 10.078 13.891
S 1.010 3.769 10.404
S 1.010 6.616 7.817
S 2.606 7.231 13.891
S 2.606 10.078 16.478
! E_tot in eV/cell: -59.98
! Energy relative to the lowest polymorph listed for this composition in meV/atom: 71
! Energy relative to the elements, uncorrected in eV per atom: -0.571


[7]
! RbAg2Sb2S6 (PBE, optimized geometry); values from VASP
&SYSTEM
  ibrav = 0, nat = 11, ntyp = 4
/
ATOMIC_SPECIES
Rb 85.47 Rb.upf
Ag 107.87 Ag.upf
Sb 121.76 Sb.upf
S 32.06 S.upf
CELL_PARAMETERS angstrom
6.805 0.000 0.000
0.018 7.100 0.000
3.385 0.181 7.542
ATOMIC_POSITIONS angstrom
Rb 0.000 0.000 0.000
Ag 3.394 3.299 2.228
Ag 6.814 3.982 5.314
Sb 3.412 6.825 3.177
Sb 6.796 0.457 4.365
S 1.675 1.523 2.669
S 3.410 5.483 1.212
S 5.092 5.761 4.877
S 5.116 1.520 2.665
S 6.798 1.798 6.330
S 8.533 5.758 4.874
! E_tot in eV/cell: -42.41
! Energy relative to the elements, uncorrected in eV per atom: -0.248


[8]
! RbSc2AgS4 (PBE, optimized geometry); values from VASP
&SYSTEM
  ibrav = 0, nat = 16, ntyp = 4
/
ATOMIC_SPECIES
Rb 85.47 Rb.upf
Sc 44.96 Sc.upf
Ag 107.87 Ag.upf
S 32.06 S.upf
CELL_PARAMETERS angstrom
1.955 -6.695 0.000
1.955 6.695 0.000
0.000 0.000 13.800
ATOMIC_POSITIONS angstrom
Rb 1.955 5.117 10.350
Rb 1.955 -5.117 3.450
Sc 1.955 1.737 7.805
Sc 1.955 1.737 12.895
Sc 1.955 -1.737 0.905
Sc 1.955 -1.737 5.995
Ag 1.955 4.421 3.450
Ag 1.955 -4.421 10.350
S 0.000 0.000 0.000
S 0.000 0.000 6.900
S 1.955 3.280 1.274
S 1.955 3.280 5.625
S 1.955 0.801 10.350
S 1.955 -0.801 3.450
S 1.955 -3.280 8.174
S 1.955 -3.280 12.525
! E_tot in eV/cell: -87.94
! Energy relative to the elements, uncorrected in eV per atom: -1.372


[9]
! RbAg4SeS2 (PBE, optimized geometry); values from VASP
&SYSTEM
  ibrav = 0, nat = 8, ntyp = 4
/
ATOMIC_SPECIES
Rb 85.47 Rb.upf
Ag 107.87 Ag.upf
Se 78.96 Se.upf
S 32.06 S.upf
CELL_PARAMETERS angstrom
4.318 0.000 0.000
0.000 4.318 0.000
0.000 0.000 10.224
ATOMIC_POSITIONS angstrom
Rb 0.000 0.000 0.000
Ag 0.000 2.159 3.280
Ag 0.000 2.159 6.944
Ag 2.159 0.000 3.280
Ag 2.159 0.000 6.944
Se 0.000 0.000 5.112
S 2.159 2.159 1.895
S 2.159 2.159 8.329
! E_tot in eV/cell: -26.32
! Energy relative to the elements, uncorrected in eV per atom: -0.276


[10]
! Rb2SiAgS4 (PBE, optimized geometry); values from VASP
&SYSTEM
  ibrav = 0, nat = 16, ntyp = 4
/
ATOMIC_SPECIES
Rb 85.47 Rb.upf
Si 28.09 Si.upf
Ag 107.87 Ag.upf
S 32.06 S.upf
CELL_PARAMETERS angstrom
0.000 6.849 11.127
3.133 0.000 11.127
3.133 6.849 0.000
ATOMIC_POSITIONS angstrom
Rb 2.350 5.137 1.204
Rb 3.917 8.562 6.767
Rb 2.350 5.137 15.487
Rb 3.917 8.562 21.050
Si 2.350 5.137 8.345
Si 3.917 8.562 13.908
Ag 0.783 1.712 2.782
Ag 5.483 11.986 19.472
S 3.635 3.872 7.180
S 3.635 6.402 9.510
S 5.202 7.297 15.073
S 5.202 9.827 12.743
S 1.064 3.872 9.510
S 1.064 6.402 7.180
S 2.631 7.297 12.743
S 2.631 9.827 15.073
! E_tot in eV/cell: -65.59
! Energy relative to the elements, uncorrected in eV per atom: -0.760


[11]
! RbSiAgS3 (PBE, optimized geometry); values from VASP
&SYSTEM
  ibrav = 0, nat = 12, ntyp = 4
/
ATOMIC_SPECIES
Rb 85.47 Rb.upf
Si 28.09 Si.upf
Ag 107.87 Ag.upf
S 32.06 S.upf
CELL_PARAMETERS angstrom
6.260 -3.591 0.000
6.260 3.591 0.000
-3.339 0.000 7.864
ATOMIC_POSITIONS angstrom
Rb 1.735 0.000 1.673
Rb 7.446 0.000 6.191
Si 3.255 0.000 5.841
Si 5.926 0.000 2.022
Ag 4.590 1.942 3.932
Ag 4.590 -1.942 3.932
S 4.900 1.760 1.563
S 1.349 0.000 5.190
S 4.281 1.760 6.300
S 4.900 -1.760 1.563
S 7.832 0.000 2.674
S 4.281 -1.760 6.300
! E_tot in eV/cell: -50.95
! Energy relative to the elements, uncorrected in eV per atom: -0.642


[12]
! RbSm2AgS4 (PBE, optimized geometry); values from VASP
&SYSTEM
  ibrav = 0, nat = 16, ntyp = 4
/
ATOMIC_SPECIES
Rb 85.47 Rb.upf
Sm 150.36 Sm.upf
Ag 107.87 Ag.upf
S 32.06 S.upf
CELL_PARAMETERS angstrom
2.072 -6.990 0.000
2.072 6.990 0.000
0.000 0.000 14.418
ATOMIC_POSITIONS angstrom
Rb 2.072 5.395 10.814
Rb 2.072 -5.395 3.605
Sm 2.072 1.847 8.136
Sm 2.072 1.847 13.491
Sm 2.072 -1.847 0.927
Sm 2.072 -1.847 6.282
Ag 2.072 4.699 3.605
Ag 2.072 -4.699 10.814
S 0.000 0.000 0.000
S 0.000 0.000 7.209
S 2.072 3.339 1.470
S 2.072 3.339 5.739
S 2.072 0.865 10.814
S 2.072 -0.865 3.605
S 2.072 -3.339 8.679
S 2.072 -3.339 12.948
! E_tot in eV/cell: -84.83
! Energy relative to the elements, uncorrected in eV per atom: -1.581


[13]
! RbSmAgS2 (PBE, optimized geometry); values from VASP
&SYSTEM
  ibrav = 0, nat = 10, ntyp = 4
/
ATOMIC_SPECIES
Rb 85.47 Rb.upf
Sm 150.36 Sm.upf
Ag 107.87 Ag.upf
S 32.06 S.upf
CELL_PARAMETERS angstrom
7.691 0.000 0.000
0.000 5.114 0.000
-1.322 0.000 7.854
ATOMIC_POSITIONS angstrom
Rb -0.330 0.725 1.963
Rb -0.991 4.390 5.890
Sm 2.854 2.524 5.890
Sm 3.515 2.590 1.963
Ag 3.845 0.000 0.000
Ag 3.185 0.000 3.927
S 0.776 1.854 7.573
S 1.437 3.260 3.646
S 4.932 1.854 4.208
S 5.593 3.260 0.281
! E_tot in eV/cell: -44.46
! Energy relative to the elements, uncorrected in eV per atom: -1.088


[14]
! RbAgSnS3 (PBE, optimized geometry); values from VASP
&SYSTEM
  ibrav = 0, nat = 12, ntyp = 4
/
ATOMIC_SPECIES
Rb 85.47 Rb.upf
Ag 107.87 Ag.upf
Sn 118.71 Sn.upf
S 32.06 S.upf
CELL_PARAMETERS angstrom
5.570 -4.302 0.000
5.570 4.302 0.000
-3.147 0.000 7.920
ATOMIC_POSITIONS angstrom
Rb 1.592 0.000 1.340
Rb 6.401 0.000 6.580
Ag 3.997 2.296 3.960
Ag 3.997 -2.296 3.960
Sn 2.354 0.000 5.678
Sn 5.639 0.000 2.242
S 0.354 0.000 4.501
S 4.483 1.957 1.576
S 3.510 1.957 6.344
S 4.483 -1.957 1.576
S 3.510 -1.957 6.344
S 7.639 0.000 3.419
! E_tot in eV/cell: -45.78
! Energy relative to the elements, uncorrected in eV per atom: -0.448


[15]
! RbSrAgS2 (PBE, optimized geometry); values from VASP
&SYSTEM
  ibrav = 0, nat = 10, ntyp = 4
/
ATOMIC_SPECIES
Rb 85.47 Rb.upf
Sr 87.62 Sr.upf
Ag 107.87 Ag.upf
S 32.06 S.upf
CELL_PARAMETERS angstrom
4.040 -7.696 0.000
4.040 7.696 0.000
0.000 0.000 5.573
ATOMIC_POSITIONS angstrom
Rb 4.040 3.848 4.399
Rb 4.040 -3.848 1.174
Sr 2.020 0.000 2.786
Sr 6.060 0.000 2.786
Ag 0.000 0.000 0.000
Ag 4.040 0.000 0.000
S 4.040 5.942 1.578
S 4.040 1.755 1.578
S 4.040 -1.755 3.995
S 4.040 -5.942 3.995
! E_tot in eV/cell: -38.76
! Energy relative to the elements, uncorrected in eV per atom: -1.125


[16]
! RbTaAg2S4 (PBE, optimized geometry); values from VASP
&SYSTEM
  ibrav = 0, nat = 8, ntyp = 4
/
ATOMIC_SPECIES
Rb 85.47 Rb.upf
Ta 180.95 Ta.upf
Ag 107.87 Ag.upf
S 32.06 S.upf
CELL_PARAMETERS angstrom
-3.401 3.401 4.576
3.401 -3.401 4.576
3.401 3.401 -4.576
ATOMIC_POSITIONS angstrom
Rb 0.000 0.000 0.000
Ta 0.000 0.000 4.576
Ag 3.401 0.000 2.288
Ag 0.000 3.401 2.288
S 2.091 2.091 -1.362
S 1.310 -1.310 5.938
S 1.310 1.310 3.214
S -1.310 1.310 5.938
! E_tot in eV/cell: -40.72
! Energy relative to the elements, uncorrected in eV per atom: -0.711


[17]
! RbTaAg2S (PBE, optimized geometry); values from VASP
&SYSTEM
  ibrav = 0, nat = 5, ntyp = 4
/
ATOMIC_SPECIES
Rb 85.47 Rb.upf
Ta 180.95 Ta.upf
Ag 107.87 Ag.upf
S 32.06 S.upf
CELL_PARAMETERS angstrom
5.444 0.000 0.000
0.000 5.444 0.000
0.000 0.000 4.733
ATOMIC_POSITIONS angstrom
Rb 0.000 0.000 0.000
Ta 2.722 2.722 2.366
Ag 0.000 2.722 2.366
Ag 2.722 0.000 2.366
S 2.722 2.722 0.000
! E_tot in eV/cell: -21.77
! Energy relative to the elements, uncorrected in eV per atom: 0.176


[18]
! RbTbAgS2 (PBE, optimized geometry); values from VASP
&SYSTEM
  ibrav = 0, nat = 10, ntyp = 4
/
ATOMIC_SPECIES
Rb 85.47 Rb.upf
Tb 158.93 Tb.upf
Ag 107.87 Ag.upf
S 32.06 S.upf
CELL_PARAMETERS angstrom
7.662 0.000 0.000
0.000 5.082 0.000
-1.220 0.000 7.691
ATOMIC_POSITIONS angstrom
Rb -0.305 0.690 1.923
Rb -0.915 4.392 5.768
Tb 2.916 2.511 5.768
Tb 3.526 2.571 1.923
Ag 3.831 0.000 0.000
Ag 3.221 0.000 3.846
S 0.872 1.893 7.425
S 1.482 3.189 3.580
S 4.960 1.893 4.111
S 5.570 3.189 0.266
! E_tot in eV/cell: -44.44
! Energy relative to the elements, uncorrected in eV per atom: -1.103


[19]
! Rb2TcAgS4 (PBE, optimized geometry); values from VASP
&SYSTEM
  ibrav = 0, nat = 8, ntyp = 4
/
ATOMIC_SPECIES
Rb 85.47 Rb.upf
Tc 98.00 Tc.upf
Ag 107.87 Ag.upf
S 32.06 S.upf
CELL_PARAMETERS angstrom
-3.754 3.754 4.177
3.754 -3.754 4.177
3.754 3.754 -4.177
ATOMIC_POSITIONS angstrom
Rb 0.000 0.000 0.000
Rb 0.000 3.754 2.089
Tc 0.000 0.000 4.177
Ag 3.754 0.000 2.089
S 1.579 -1.009 2.972
S 2.745 2.175 1.205
S 2.175 4.763 -1.205
S 1.009 1.579 5.382
! E_tot in eV/cell: -36.67
! Energy relative to the elements, uncorrected in eV per atom: -0.626


[20]
! RbAg2Te2S6 (PBE, optimized geometry); values from VASP
&SYSTEM
  ibrav = 0, nat = 11, ntyp = 4
/
ATOMIC_SPECIES
Rb 85.47 Rb.upf
Ag 107.87 Ag.upf
Te 127.60 Te.upf
S 32.06 S.upf
CELL_PARAMETERS angstrom
6.321 0.000 0.000
-1.810 6.190 0.000
-1.926 -3.026 7.772
ATOMIC_POSITIONS angstrom
Rb 0.000 0.000 0.000
Ag -1.203 3.357 4.408
Ag 3.788 -0.194 3.364
Te 0.533 0.574 5.704
Te 2.052 2.589 2.068
S -1.837 0.975 5.550
S 0.929 -0.258 3.506
S 0.803 -1.590 6.681
S 1.782 4.753 1.091
S 1.655 3.421 4.266
S 4.421 2.189 2.222
! E_tot in eV/cell: -39.19
! Energy relative to the elements, uncorrected in eV per atom: -0.134